CeNpMn2O8 after structural relaxation, computed with PBE+U.

Results
Total DFT energy (no corrections) in eV per atom: -8.487
Crystal system: monoclinic

Cell lengths 4.7468, 4.7469, 7.1063 Å; angles 85.54, 85.54, 86.95 degrees
Site moments in Bohr magnetons follow the coordinates.
Element x y z (fractional)
Ce 0.0000 0.0000 0.5000  0.10
Np 0.0000 0.0000 0.0000  1.29
Mn 0.4833 0.4833 0.7351  3.90
Mn 0.5167 0.5167 0.2649  3.90
O 0.2045 0.7981 0.2333  -0.06
O 0.7101 0.7101 0.0378  -0.08
O 0.7981 0.2045 0.2333  -0.06
O 0.7955 0.2019 0.7667  -0.06
O 0.2899 0.2899 0.9622  -0.08
O 0.2019 0.7955 0.7667  -0.06
O 0.6833 0.6833 0.5215  -0.02
O 0.3167 0.3167 0.4785  -0.02